Material: Mn2AlF6
Method: DFT, GGA+U
State: optimized geometry

Cell: 5.0424 5.0424 9.2170 Å, 90.00 90.00 90.00°
Last column: nearest neighbours and their distance in Å.
Positions (direct):
Mn: 0.0000 0.0000 0.1504  6 F 2.25-2.28
Mn: 0.0000 0.0000 0.8496  6 F 2.25-2.28
Mn: 0.5000 0.5000 0.3496  6 F 2.25-2.28
Mn: 0.5000 0.5000 0.6504  6 F 2.25-2.28
Al: 0.0000 0.0000 0.5000  6 F 1.80-1.87
Al: 0.5000 0.5000 0.0000  6 F 1.80-1.87
F: 0.1817 0.1817 0.3535  1 Al 1.87
F: 0.1817 0.1817 0.6465  1 Al 1.87
F: 0.2480 0.2480 0.0000  1 Al 1.80
F: 0.2520 0.7480 0.5000  1 Al 1.80
F: 0.3183 0.6817 0.1465  1 Al 1.87
F: 0.3183 0.6817 0.8535  1 Al 1.87
F: 0.6817 0.3183 0.1465  1 Al 1.87
F: 0.6817 0.3183 0.8535  1 Al 1.87
F: 0.7480 0.2520 0.5000  1 Al 1.80
F: 0.7520 0.7520 0.0000  1 Al 1.80
F: 0.8183 0.8183 0.3535  1 Al 1.87
F: 0.8183 0.8183 0.6465  1 Al 1.87

Computed properties:
The electronic total energy comes out at -6.001 eV/atom. The value obtained for the density is 3.555 g cm⁻³.

Material: MnAl2F8
Method: DFT, GGA+U
State: optimized geometry

Cell: 4.9855 4.9855 5.2175 Å, 98.50 98.50 77.62°
Last column: nearest neighbours and their distance in Å.
Positions (direct):
Mn: 0.0000 0.0000 0.0000  6 F 2.04-2.23
Al: 0.3134 0.3134 0.5449  5 F 1.76-1.96
Al: 0.6866 0.6866 0.4551  5 F 1.76-1.96
F: 0.0478 0.6700 0.6606  2 Al 1.95-2.05
F: 0.2084 0.2084 0.8148  1 Al 1.76
F: 0.3300 0.9522 0.3394  2 Al 1.95-2.05
F: 0.4391 0.4391 0.2825  2 Al 1.83-1.96
F: 0.5609 0.5609 0.7175  2 Al 1.83-1.96
F: 0.6700 0.0478 0.6606  2 Al 1.95-2.05
F: 0.7916 0.7916 0.1852  1 Al 1.76
F: 0.9522 0.3300 0.3394  2 Al 1.95-2.05

Computed properties:
The offset from the most stable computed form is 91 meV per atom. The electronic total energy comes out at -5.860 eV/atom. The value obtained for the density is 3.483 g cm⁻³.

Material: MnAlF2
Method: DFT, GGA+U
State: optimized geometry

Cell: 6.0739 6.0739 6.0739 Å, 121.98 121.98 86.60°
Last column: nearest neighbours and their distance in Å.
Positions (direct):
Mn: 0.3750 0.6250 0.7500  12 F 3.47-3.63, 4 Al 3.68, 4 Mn 3.68
Mn: 0.6250 0.3750 0.2500  12 F 3.47-3.63, 4 Al 3.68, 4 Mn 3.68
Al: 0.1250 0.8750 0.2500  4 F 1.84
Al: 0.8750 0.1250 0.7500  4 F 1.84
F: 0.0000 0.0000 0.0000  2 Al 1.84
F: 0.0000 0.0000 0.5000  2 Al 1.84
F: 0.0000 0.5000 0.0000  2 Al 1.84
F: 0.5000 0.0000 0.5000  2 Al 1.84

Computed properties:
The offset from the most stable computed form is 271 meV per atom. The electronic total energy comes out at -5.035 eV/atom. The value obtained for the density is 2.596 g cm⁻³.

Material: MnAlF3
Method: DFT, GGA+U
State: optimized geometry

Cell: 4.2538 4.2538 4.2538 Å, 90.00 90.00 90.00°
Last column: nearest neighbours and their distance in Å.
Positions (direct):
Mn: 0.0000 0.0000 0.0000  6 F 2.13
Al: 0.5000 0.5000 0.5000  12 F 3.01
F: 0.0000 0.0000 0.5000  2 Mn 2.13
F: 0.0000 0.5000 0.0000  2 Mn 2.13
F: 0.5000 0.0000 0.0000  2 Mn 2.13

Computed properties:
The offset from the most stable computed form is 0 meV per atom. The electronic total energy comes out at -5.381 eV/atom. The value obtained for the density is 2.997 g cm⁻³.

Material: MnAlF2
Method: DFT, GGA+U
State: optimized geometry

Cell: 6.1907 6.1907 6.1907 Å, 33.11 33.11 33.11°
Last column: nearest neighbours and their distance in Å.
Positions (direct):
Mn: 0.0000 0.0000 0.0000  2 F 2.30
Al: 0.5000 0.5000 0.5000  6 F 2.13
F: 0.1311 0.1311 0.1311  3 Al 2.13, 1 Mn 2.30
F: 0.8689 0.8689 0.8689  3 Al 2.13, 1 Mn 2.30

Computed properties:
The offset from the most stable computed form is 319 meV per atom. The electronic total energy comes out at -4.987 eV/atom. The value obtained for the density is 3.161 g cm⁻³.

Material: MnAl2F8
Method: DFT, GGA+U
State: optimized geometry

Cell: 5.7613 5.7613 6.3202 Å, 90.00 90.00 120.00°
Last column: nearest neighbours and their distance in Å.
Positions (direct):
Mn: 0.0000 0.0000 0.0000  6 F 2.13
Al: 0.3333 0.6667 0.2961  4 F 1.67-1.71
Al: 0.6667 0.3333 0.7039  4 F 1.67-1.71
F: 0.1748 0.3495 0.1933  1 Al 1.71
F: 0.1748 0.8252 0.1933  1 Al 1.71
F: 0.3333 0.6667 0.5608  1 Al 1.67
F: 0.3495 0.1748 0.8067  1 Al 1.71
F: 0.6505 0.8252 0.1933  1 Al 1.71
F: 0.6667 0.3333 0.4392  1 Al 1.67
F: 0.8252 0.1748 0.8067  1 Al 1.71
F: 0.8252 0.6505 0.8067  1 Al 1.71

Computed properties:
The offset from the most stable computed form is 0 meV per atom. The electronic total energy comes out at -5.951 eV/atom. The value obtained for the density is 2.385 g cm⁻³.

Material: MnAlF3
Method: DFT, GGA+U
State: optimized geometry

Cell: 4.0889 4.0889 4.0889 Å, 90.00 90.00 90.00°
Last column: nearest neighbours and their distance in Å.
Positions (direct):
Mn: 0.0000 0.0000 0.0000  12 F 2.89
Al: 0.5000 0.5000 0.5000  6 F 2.04
F: 0.0000 0.5000 0.5000  2 Al 2.04
F: 0.5000 0.0000 0.5000  2 Al 2.04
F: 0.5000 0.5000 0.0000  2 Al 2.04

Computed properties:
The offset from the most stable computed form is 177 meV per atom. The electronic total energy comes out at -5.204 eV/atom. The value obtained for the density is 3.374 g cm⁻³.

Material: MnAlF2
Method: DFT, GGA+U
State: optimized geometry

Cell: 7.6490 7.6490 7.6490 Å, 22.33 22.33 22.33°
Last column: nearest neighbours and their distance in Å.
Positions (direct):
Mn: 0.0000 0.0000 0.0000  6 F 2.54
Al: 0.5000 0.5000 0.5000  2 F 1.85
F: 0.4175 0.4175 0.4175  1 Al 1.85
F: 0.5825 0.5825 0.5825  1 Al 1.85

Computed properties:
The offset from the most stable computed form is 0 meV per atom. The electronic total energy comes out at -5.305 eV/atom. The value obtained for the density is 3.515 g cm⁻³.

Material: MnAlF2
Method: DFT, GGA+U
State: optimized geometry

Cell: 4.4177 4.4177 4.4177 Å, 60.00 60.00 60.00°
Last column: nearest neighbours and their distance in Å.
Positions (direct):
Mn: 0.0000 0.0000 0.0000  8 F 2.71
Al: 0.5000 0.5000 0.5000  8 F 2.71
F: 0.2500 0.2500 0.2500  4 Al 2.71, 4 Mn 2.71
F: 0.7500 0.7500 0.7500  4 Al 2.71, 4 Mn 2.71

Computed properties:
The offset from the most stable computed form is 576 meV per atom. The electronic total energy comes out at -4.729 eV/atom. The value obtained for the density is 3.266 g cm⁻³.

Material: Mn2AlF
Method: DFT, GGA+U
State: optimized geometry

Cell: 5.6943 5.6943 5.6943 Å, 108.85 108.85 110.72°
Last column: nearest neighbours and their distance in Å.
Positions (direct):
Mn: 0.0593 0.1250 0.4343  2 F 2.21
Mn: 0.3750 0.9407 0.0657  2 F 2.21
Mn: 0.6907 0.6250 0.5657  2 F 2.21
Mn: 0.8750 0.3093 0.9343  2 F 2.21
Al: 0.2500 0.7500 0.5000  4 Mn 2.79
Al: 0.5000 0.5000 0.0000  4 Mn 2.79
F: 0.0000 0.0000 0.0000  4 Mn 2.21
F: 0.7500 0.2500 0.5000  4 Mn 2.21

Computed properties:
The offset from the most stable computed form is 0 meV per atom. The electronic total energy comes out at -5.474 eV/atom. The value obtained for the density is 3.643 g cm⁻³.

Material: Mn2AlF8
Method: DFT, GGA+U
State: optimized geometry

Cell: 5.3608 5.3608 4.7350 Å, 102.42 102.42 78.61°
Last column: nearest neighbours and their distance in Å.
Positions (direct):
Mn: 0.1827 0.1827 0.4408  5 F 1.99-2.17
Mn: 0.8173 0.8173 0.5592  5 F 1.99-2.17
Al: 0.5000 0.5000 0.0000  6 F 1.80-1.86
F: 0.0664 0.0664 0.7555  2 Mn 1.99-2.02
F: 0.1862 0.5502 0.7438  1 Al 1.86
F: 0.3501 0.3501 0.2111  1 Al 1.80, 1 Mn 1.99
F: 0.4498 0.8138 0.2562  1 Al 1.86
F: 0.5502 0.1862 0.7438  1 Al 1.86
F: 0.6499 0.6499 0.7889  1 Al 1.80, 1 Mn 1.99
F: 0.8138 0.4498 0.2562  1 Al 1.86
F: 0.9336 0.9336 0.2445  2 Mn 1.99-2.02

Computed properties:
The electronic total energy comes out at -5.879 eV/atom. The value obtained for the density is 3.743 g cm⁻³.

Material: MnAlN2F
Method: DFT, GGA+U
State: optimized geometry

Cell: 3.8267 3.8267 3.6643 Å, 90.00 90.00 90.00°
Last column: nearest neighbours and their distance in Å.
Positions (direct):
Mn: 0.0000 0.0000 0.0000  8 N 2.65, 4 F 2.71
Al: 0.5000 0.5000 0.5000  2 F 1.83, 4 N 1.91
N: 0.0000 0.5000 0.5000  2 Al 1.91
N: 0.5000 0.0000 0.5000  2 Al 1.91
F: 0.5000 0.5000 0.0000  2 Al 1.83

Computed properties:
The offset from the most stable computed form is 0 meV per atom. The electronic total energy comes out at -6.443 eV/atom. The value obtained for the density is 3.990 g cm⁻³.